# 1
Th2InAu6 GGA-PBE optimized geometry; space-group type = Cmmm; total energy = -0.1690 hartree per atom; ΔH_f (0 K) = -0.46 eV/atom; relative energy among the computed polymorphs = 1.42 kcal/mol of atoms; total magnetic moment = 0.000 μB/atom; crystal system = orthorhombic
1.0
4.1744 -7.2402 0.0000
4.1744 7.2402 0.0000
0.0000 0.0000 3.3775
Th In Au
2 1 6
Direct
0.1665 0.8335 0.0000
0.8335 0.1665 0.0000
0.5000 0.5000 0.0000
0.1691 0.1691 0.5000
0.1688 0.5000 0.5000
0.5000 0.1688 0.5000
0.5000 0.8312 0.5000
0.8312 0.5000 0.5000
0.8309 0.8309 0.5000



# 2
ThIn3Au3 GGA-PBE optimized geometry; space-group type = Pm-3n; total energy = -0.1250 hartree per atom; ΔH_f (0 K) = 0.24 eV/atom; total magnetic moment = 0.000 μB/atom; crystal system = cubic
1.0
7.4231 0.0000 0.0000
0.0000 7.4231 0.0000
0.0000 0.0000 7.4231
Th In Au
2 6 6
Direct
0.0000 0.0000 0.0000
0.5000 0.5000 0.5000
0.0000 0.2500 0.5000
0.0000 0.7500 0.5000
0.2500 0.5000 0.0000
0.5000 0.0000 0.2500
0.5000 0.0000 0.7500
0.7500 0.5000 0.0000
0.0000 0.5000 0.2500
0.0000 0.5000 0.7500
0.2500 0.0000 0.5000
0.5000 0.2500 0.0000
0.5000 0.7500 0.0000
0.7500 0.0000 0.5000



Question: What is the ΔH_f (0 K) in the first record?
Answer: -0.46 eV/atom



Question: Look up the total magnetic moment of the first one.
Answer: 0.000 μB/atom